LiFe2OF3 | meta-GGA SCAN | single point on PBEsol structure

Output
Distance to the lowest polymorph of the same formula (meV/atom): 55.7
Total moment (μB per formula unit): 8.00
Formation energy from raw total energies (kJ/mol of formula units): -1452

POSCAR file:
```
LiFe2OF3
1.0
-2.193 -2.884 4.737
5.249 0.564 2.773
-2.722 7.891 3.545
O Li F Fe
4 4 12 8
Direct
0.316 0.113 0.005
0.887 0.316 0.755
0.684 0.887 0.505
0.113 0.684 0.255
0.724 0.579 0.813
0.276 0.421 0.313
0.421 0.724 0.563
0.579 0.276 0.063
0.544 0.758 0.190
0.802 0.056 0.025
0.198 0.944 0.525
0.209 0.495 0.516
0.495 0.791 0.766
0.505 0.209 0.266
0.791 0.505 0.016
0.456 0.242 0.690
0.056 0.198 0.275
0.758 0.456 0.440
0.242 0.544 0.940
0.944 0.802 0.775
0.943 0.734 0.432
0.222 0.867 0.893
0.867 0.778 0.143
0.057 0.266 0.932
0.133 0.222 0.643
0.266 0.943 0.182
0.734 0.057 0.682
0.778 0.133 0.393
```

---

Li5FeOF5 | meta-GGA SCAN | single point on PBEsol structure

Output
Total moment (μB per formula unit): 4.00
Formation energy from raw total energies (kJ/mol of formula units): -3161

POSCAR file:
```
Li5FeOF5
1.0
-4.020 -2.942 0.678
1.462 1.151 -4.671
6.359 -7.156 1.040
Li Fe F O
10 2 10 2
Direct
0.609 0.433 0.255
0.150 0.322 0.994
0.927 0.060 0.259
0.433 0.609 0.755
0.245 0.744 0.253
0.060 0.927 0.759
0.672 0.825 0.492
0.322 0.150 0.494
0.744 0.245 0.753
0.825 0.672 0.992
0.998 0.522 0.492
0.522 0.998 0.992
0.102 0.620 0.871
0.894 0.383 0.132
0.692 0.544 0.631
0.229 0.036 0.120
0.304 0.441 0.372
0.383 0.894 0.632
0.620 0.102 0.371
0.036 0.229 0.620
0.441 0.304 0.872
0.544 0.692 0.131
0.966 0.784 0.379
0.784 0.966 0.879
```

---

Li2FePO4F | meta-GGA SCAN | single point on PBEsol structure

Output
Total moment (μB per formula unit): 4.00
Formation energy from raw total energies (kJ/mol of formula units): -2105

POSCAR file:
```
Li2FePO4F
1.0
5.331 0.030 -0.006
-0.441 5.318 -0.054
-2.388 -2.546 6.495
O Li Fe P F
8 4 2 2 2
Direct
0.152 0.680 0.882
0.838 0.314 0.143
0.656 0.707 0.913
0.691 0.169 0.395
0.718 0.648 0.428
0.357 0.283 0.107
0.321 0.848 0.655
0.299 0.346 0.627
0.533 0.220 0.861
0.091 0.515 0.071
0.490 0.915 0.469
0.780 0.469 0.677
0.001 0.995 0.509
0.008 0.002 0.028
0.651 0.354 0.269
0.354 0.648 0.769
0.844 0.157 0.768
0.145 0.861 0.269
```

---

Li3VFeP2O8F2 | meta-GGA SCAN | single point on PBEsol structure

Output
Total moment (μB per formula unit): 6.47
D(E_F) (states/eV per cell): 5.381
Formation energy from raw total energies (kJ/mol of formula units): -4237

POSCAR file:
```
Li3VFeP2O8F2
1.0
-1.260 -2.266 -4.472
4.144 -3.058 1.176
-5.202 -1.594 4.790
O F Li Fe V P
8 2 3 1 1 2
Direct
0.266 0.781 0.601
0.633 0.758 0.920
0.672 0.670 0.343
0.733 0.223 0.400
0.366 0.245 0.081
0.327 0.333 0.657
0.125 0.660 0.879
0.875 0.343 0.123
0.154 0.921 0.261
0.844 0.083 0.740
0.756 0.417 0.851
0.498 0.007 0.502
0.246 0.589 0.153
0.998 0.001 0.500
0.000 0.002 0.001
0.331 0.636 0.759
0.668 0.367 0.242
```

---

LiVFeP2O8F2 | meta-GGA SCAN | single point on PBEsol structure

Output
Total moment (μB per formula unit): 6.00
Formation energy from raw total energies (kJ/mol of formula units): -3641

POSCAR file:
```
LiVFeP2O8F2
1.0
-4.096 2.585 -1.508
-2.087 -1.959 4.432
4.994 5.011 1.638
O Li F Fe V P
8 1 2 1 1 2
Direct
0.357 0.830 0.594
0.721 0.856 0.082
0.267 0.127 0.913
0.751 0.213 0.900
0.360 0.341 0.674
0.649 0.178 0.399
0.237 0.794 0.125
0.652 0.664 0.328
0.929 0.563 0.173
0.132 0.317 0.256
0.864 0.691 0.743
0.506 0.500 0.506
0.998 0.997 0.995
0.436 0.123 0.759
0.559 0.880 0.241
```

---

LiFeW2F | meta-GGA SCAN | single point on PBEsol structure

Output
Total moment (μB per formula unit): 2.56
D(E_F) (states/eV per cell): 3.162
Formation energy from raw total energies (kJ/mol of formula units): 461

POSCAR file:
```
LiFeW2F
1.0
4.066 0.000 0.000
0.000 4.066 0.000
0.000 0.000 4.172
W Li Fe F
2 1 1 1
Direct
0.000 0.500 0.000
0.500 0.000 0.000
0.500 0.500 0.500
0.000 0.000 0.500
0.000 0.000 0.000
```

---

MnFe2F | meta-GGA SCAN | single point on PBEsol structure

Output
Total moment (μB per formula unit): 1.94
D(E_F) (states/eV per cell): 4.325
Formation energy from raw total energies (kJ/mol of formula units): 76

POSCAR file:
```
MnFe2F
1.0
3.956 0.000 0.000
1.978 3.426 0.000
1.978 1.142 3.230
Mn Fe F
1 2 1
Direct
0.500 0.500 0.500
0.250 0.250 0.250
0.750 0.750 0.750
0.000 0.000 0.000
```

---

FeMoO2F | meta-GGA SCAN | single point on PBEsol structure

Output
Total moment (μB per formula unit): 8.11
D(E_F) (states/eV per cell): 2.973
Formation energy from raw total energies (kJ/mol of formula units): -410

POSCAR file:
```
FeMoO2F
1.0
3.786 0.000 0.000
0.000 3.797 0.000
0.000 0.000 3.797
O Mo Fe F
2 1 1 1
Direct
0.000 0.000 0.500
0.000 0.500 0.000
0.500 0.500 0.500
0.000 0.000 0.000
0.500 0.000 0.000
```